# PuNiGe2O8 | Alexandria | PBE+U | relaxed
# Total DFT energy (no corrections) (eV for the cell shown): -169.5
data_PuNiGe2O8
_cell_length_a 6.775
_cell_length_b 6.775
_cell_length_c 6.448
_cell_angle_alpha 90.00
_cell_angle_beta 90.00
_cell_angle_gamma 90.00
_space_group_name_H-M_alt 'I -4 m 2'
_space_group_IT_number 119
_space_group_name_Hall 'I -4 -2'
loop_
_atom_site_label
_atom_site_type_symbol
_atom_site_fract_x
_atom_site_fract_y
_atom_site_fract_z
Pu1 Pu 0.000 0.000 0.000
Ni1 Ni 0.000 0.500 0.250
Ge1 Ge 0.000 0.000 0.500
Ge2 Ge 0.000 0.500 0.750
O1 O 0.000 0.190 0.308
O2 O 0.000 0.306 0.931